Entry from Alexandria via LeMat-Bulk: a relaxed CaYAs2Rh2 crystal (PBE-GGA).

Cell and atoms, written as POSCAR:
```
CaYAs2Rh2
1.0
4.1941 0.0000 0.0000
-2.0971 3.6322 0.0000
0.0000 0.0000 8.1614
Ca Y As Rh
1 1 2 2
Direct
0.0000 0.0000 0.0000
0.0000 0.0000 0.5000
0.3333 0.6667 0.2554
0.6667 0.3333 0.7446
0.6667 0.3333 0.2615
0.3333 0.6667 0.7385
```

Calculated values
Its crystal system is trigonal. Its density of states at the Fermi level is 0.738 states/eV/atom. The space group is P-3m1, No. 164. Its formation energy is -0.953 eV per atom.

Entry from Alexandria via LeMat-Bulk: a relaxed LiSb2Pb2Au7 crystal (PBE-GGA).

Cell and atoms, written as POSCAR:
```
LiSb2Pb2Au7
1.0
4.2394 -0.0026 0.0290
0.0026 4.2394 0.0290
2.0836 2.0811 16.1911
Au Sb Pb Li
7 2 2 1
Direct
0.0620 0.5610 0.8803
0.9380 0.4390 0.1197
0.3002 0.3002 0.3990
0.4390 0.9380 0.1197
0.5610 0.0620 0.8803
0.6998 0.6998 0.6010
0.5000 0.5000 0.0000
0.3816 0.3816 0.2283
0.6184 0.6184 0.7717
0.2115 0.2115 0.5781
0.7885 0.7885 0.4219
0.0000 0.0000 0.0000
```

Calculated values
The calculation puts the uncorrected formation energy at -121 meV/atom. Its crystal system is monoclinic. Its density of states at the Fermi level is 0.437 states/eV/atom. The space group is C2/m, No. 12.

Entry from Alexandria via LeMat-Bulk: a relaxed PrY3HoTm crystal (PBE-GGA).

Cell and atoms, written as POSCAR:
```
PrY3HoTm
1.0
-0.8878 -4.9133 0.7808
5.0142 0.7099 -6.1860
7.8708 -0.4159 6.3321
Y Ho Tm Pr
6 2 2 2
Direct
0.8329 0.6657 0.2500
0.3327 0.6654 0.9997
0.3327 0.6654 0.5003
0.6673 0.3346 0.0003
0.6673 0.3346 0.4997
0.1671 0.3343 0.7500
0.4990 0.9980 0.7500
0.5010 0.0020 0.2500
0.1665 0.3330 0.2500
0.8335 0.6670 0.7500
0.0000 0.0000 0.0000
0.0000 0.0000 0.5000
```

Calculated values
Its crystal system is orthorhombic. Its density of states at the Fermi level is 1.454 states/eV/atom. The space group is Cmcm, No. 63. Its formation energy is 0.025 eV per atom.

Entry from Alexandria via LeMat-Bulk: a relaxed ScTiGa crystal (PBE-GGA).

Cell and atoms, written as POSCAR:
```
ScTiGa
1.0
2.8524 0.0000 0.0000
0.0000 4.6861 0.0000
0.0000 -2.3430 4.0583
Ti Sc Ga
1 1 1
Direct
0.1672 0.3333 0.6667
0.1663 0.0000 0.0000
0.6664 0.6667 0.3333
```

Calculated values
The energy above the lowest structure with this stoichiometry is 97 kJ/mol of formula units. Its crystal system is hexagonal. Its density of states at the Fermi level is 0.906 states/eV/atom. The space group is P-6m2, No. 187. Its formation energy is -0.095 eV per atom.

Entry from Alexandria via LeMat-Bulk: a relaxed ZrAsCl2 crystal (PBE-GGA).

Cell and atoms, written as POSCAR:
```
ZrAsCl2
1.0
-4.9584 -2.0112 -1.9586
-2.8834 -2.2253 -4.3818
-0.3492 -7.2882 0.3451
Cl Zr As
2 1 1
Direct
0.8429 0.8429 0.6505
0.9877 0.9877 0.0993
0.4825 0.4825 0.3749
0.1869 0.1869 0.3752
```

Calculated values
The calculation puts the uncorrected formation energy at -1066 meV/atom. The energy above the lowest structure with this stoichiometry is 0 kJ/mol of formula units. Its crystal system is monoclinic. Its density of states at the Fermi level is 0.484 states/eV/atom. The space group is Cm, No. 8.

Entry from Alexandria via LeMat-Bulk: a relaxed SnPdS2Br crystal (PBE-GGA).

Cell and atoms, written as POSCAR:
```
SnPdS2Br
1.0
5.0832 0.0000 0.0000
0.0000 4.7192 0.0000
0.0000 0.0000 5.0832
S Br Sn Pd
2 1 1 1
Direct
0.0000 0.0000 0.5000
0.5000 0.0000 0.0000
0.0000 0.0000 0.0000
0.5000 0.5000 0.5000
0.0000 0.5000 0.0000
```

Calculated values
The calculation puts the uncorrected formation energy at 683 meV/atom. Its crystal system is tetragonal. Its density of states at the Fermi level is 0.637 states/eV/atom. The space group is P4/mmm, No. 123.

Entry from Alexandria via LeMat-Bulk: a relaxed LiHo3Tl4 crystal (PBE-GGA).

Cell and atoms, written as POSCAR:
```
LiHo3Tl4
1.0
3.6108 0.0000 0.0000
0.0000 7.3535 0.0000
-1.8054 -3.6767 8.3889
Ho Li Tl
3 1 4
Direct
0.7789 0.7789 0.5578
0.0000 0.5000 0.0000
0.2211 0.2211 0.4422
0.5000 0.0000 0.0000
0.6196 0.8521 0.2392
0.6196 0.3871 0.2392
0.3804 0.6129 0.7608
0.3804 0.1479 0.7608
```

Calculated values
The energy above the lowest structure with this stoichiometry is 94 kJ/mol of formula units. Its crystal system is orthorhombic. Its density of states at the Fermi level is 0.560 states/eV/atom. The space group is Immm, No. 71. Its formation energy is -0.194 eV per atom.

Entry from Alexandria via LeMat-Bulk: a relaxed Y2GaCu4Ge3 crystal (PBE-GGA).

Cell and atoms, written as POSCAR:
```
Y2GaCu4Ge3
1.0
-0.4093 -3.9681 0.8770
4.0290 -0.5115 -0.4340
1.3352 2.0639 9.9621
Ge Y Ga Cu
3 2 1 4
Direct
0.5000 0.0000 0.8670
0.0000 0.0000 0.5000
0.0000 0.5000 0.1330
0.5000 0.0000 0.2437
0.0000 0.5000 0.7563
0.5000 0.5000 0.5000
0.5000 0.0000 0.6367
0.5000 0.5000 0.0000
0.0000 0.5000 0.3633
0.0000 0.0000 0.0000
```

Calculated values
Its crystal system is tetragonal. Its density of states at the Fermi level is 0.474 states/eV/atom. The space group is P-4m2, No. 115. Its formation energy is -0.497 eV per atom.

Entry from Alexandria via LeMat-Bulk: a relaxed CePd2RhAu crystal (PBE-GGA).

Cell and atoms, written as POSCAR:
```
CePd2RhAu
1.0
-0.0719 1.5263 -4.1198
0.6301 -5.9064 -2.1992
-6.5411 -1.8578 -0.5741
Pd Rh Au Ce
4 2 2 2
Direct
0.7500 0.5179 0.8421
0.7500 0.3814 0.4640
0.2500 0.6186 0.5360
0.2500 0.4821 0.1579
0.2500 0.8213 0.8550
0.7500 0.1787 0.1450
0.2500 0.0849 0.3924
0.7500 0.9151 0.6076
0.2500 0.2041 0.8247
0.7500 0.7959 0.1753
```

Calculated values
Its crystal system is monoclinic. Its density of states at the Fermi level is 0.612 states/eV/atom. The space group is P2_1/m, No. 11. Its formation energy is -0.532 eV per atom.